CdCoGeO4: relaxed, PBE+U.

POSCAR file:
```
CdCoGeO4
1.0
6.1927 0.0000 0.0000
0.0000 6.1927 0.0000
0.0000 0.0000 8.3979
Cd Co Ge O
4 4 4 16
direct
0.0000 0.2489 0.0000
0.0000 0.7511 0.5000
0.2489 0.0000 0.7500
0.7511 0.0000 0.2500
0.2567 0.2567 0.3750
0.2567 0.7433 0.1250
0.7433 0.2567 0.6250
0.7433 0.7433 0.8750
0.2535 0.5000 0.7500
0.5000 0.2535 0.0000
0.5000 0.7465 0.5000
0.7465 0.5000 0.2500
0.0345 0.2873 0.7269
0.0345 0.7127 0.7731
0.2836 0.4841 0.9796
0.2836 0.5159 0.5204
0.2873 0.0345 0.0231
0.2873 0.9655 0.4769
0.4841 0.2836 0.7704
0.4841 0.7164 0.7296
0.5159 0.2836 0.2296
0.5159 0.7164 0.2704
0.7127 0.0345 0.9769
0.7127 0.9655 0.5231
0.7164 0.4841 0.0204
0.7164 0.5159 0.4796
0.9655 0.2873 0.2731
0.9655 0.7127 0.2269
```

Output
- Space-group type: P4_122
- Total DFT energy (no corrections): -5.62 eV/atom